# RbNaMgV2

RbNaMgV2 after structural relaxation (PBE, Alexandria via LeMat-Bulk).

```
RbNaMgV2
1.0
-3.822 -0.038 -4.211
-3.688 -3.785 3.381
-2.561 4.535 2.284
V Na Mg Rb
2 1 1 1
Direct
0.000 0.000 0.500
0.500 0.000 0.000
0.500 0.500 0.500
0.000 0.500 0.000
0.000 0.000 0.000
```

## Properties
* ρ: 1.9 g/cm3
* space-group type: P4/mmm (123)
* magnetic moment: 9.1 μB/f.u.
* final energy: -12.05 eV/cell

***

# RbNaY2Mg

RbNaY2Mg after structural relaxation (PBE, Alexandria via LeMat-Bulk).

```
RbNaY2Mg
1.0
5.934 0.000 0.000
0.000 5.708 0.000
0.000 0.000 5.934
Na Y Mg Rb
1 2 1 1
Direct
0.000 0.000 0.000
0.500 0.000 0.000
0.000 0.000 0.500
0.000 0.500 0.000
0.500 0.500 0.500
```

## Properties
* ρ: 2.6 g/cm3
* space-group type: P4/mmm (123)
* magnetic moment: 1.1 μB/f.u.
* final energy: -12.73 eV/cell

***

# RbNaMg2Zn

RbNaMg2Zn after structural relaxation (PBE, Alexandria via LeMat-Bulk).

```
RbNaMg2Zn
1.0
5.280 0.000 0.000
0.000 5.280 0.000
0.000 0.000 5.962
Na Mg Rb Zn
1 2 1 1
Direct
0.000 0.000 0.500
0.500 0.000 0.000
0.000 0.500 0.000
0.500 0.500 0.500
0.000 0.000 0.000
```

## Properties
* ρ: 2.2 g/cm3
* space-group type: P4/mmm (123)
* magnetic moment: 0.0 μB/f.u.
* final energy: -6.06 eV/cell